# RhCl5O2

An optimized crystal structure of RhCl5O2 (PBE-GGA, Alexandria via LeMat-Bulk). Values from VASP.

Geometry as Quantum ESPRESSO input:
```
&SYSTEM
  ibrav = 0, nat = 8, ntyp = 3
/
ATOMIC_SPECIES
Rh 102.91 Rh.upf
Cl 35.45 Cl.upf
O 16.00 O.upf
CELL_PARAMETERS angstrom
4.790 0.000 0.000
2.333 6.493 0.000
2.339 1.420 6.807
ATOMIC_POSITIONS angstrom
Rh 0.000 0.000 0.000
Cl 2.335 4.248 0.425
Cl 2.356 1.001 4.563
Cl 4.720 6.598 0.525
Cl 7.103 6.926 2.306
Cl 7.115 3.663 6.362
O 4.128 4.001 3.420
O 5.345 3.912 3.392
```

Calculated values
formation energy without anion corrections	-11	kJ per mole of atoms
calculated volume	26.5	Å³/atom
density of states at the Fermi level	1.420	states/eV per atom
E_tot	-3.43	eV per atom